Entry from Alexandria: a relaxed ZnInCo crystal (PBE-GGA).

ΔE to the lowest computed polymorph, eV per atom: 0.1691

Cell lengths 4.2234, 4.2234, 3.0314 Å; angles 90.00, 90.00, 120.00 degrees
Space group P-6m2 (No. 187)
Asymmetric unit:
Zn 0.0000 0.0000 0.0000 [1 per cell]
In 0.3333 0.6667 0.5000 [1 per cell]
Co 0.6667 0.3333 0.0000 [1 per cell]


Entry from Alexandria: a relaxed Tb2Ce2Tl7 crystal (PBE-GGA).

Uncorrected energy, eV per atom: -3.307

Cell lengths 8.5676, 10.9788, 7.8800 Å; angles 90.00, 90.00, 90.00 degrees
Space group Cmmm (No. 65)
Asymmetric unit:
Tb 0.1925 0.0000 0.0000 [4 per cell]
Ce 0.0000 0.3022 0.5000 [4 per cell]
Tl 0.0000 0.0000 0.5000 [2 per cell]
Tl 0.0000 0.5000 0.2037 [4 per cell]
Tl 0.2500 0.2500 0.2006 [8 per cell]